# Pm2MnAgO6

A geometry-optimized Pm2MnAgO6 structure (PBE with a Hubbard U, the Alexandria database).

Properties
Space group   P2_1/c
DOS at the Fermi energy   0.363 states/eV/atom
Crystal system   monoclinic
Electronic total energy   -7.09 eV/atom

Cell lengths 5.5432, 6.0690, 9.2894 Å; angles 90.00, 125.06, 90.00 degrees
Closest atoms and distances in Å follow each position.
Sites, in units of the cell vectors:
Pm1 0.2269 0.0793 0.2488  5 O 2.35-2.62
Pm2 0.2269 0.4207 0.7488  5 O 2.35-2.62
Pm3 0.7731 0.5793 0.2512  5 O 2.35-2.62
Pm4 0.7731 0.9207 0.7512  5 O 2.35-2.62
Mn1 0.5000 0.0000 0.0000  6 O 1.92-1.98
Mn2 0.5000 0.5000 0.5000  6 O 1.92-1.98
Ag1 0.0000 0.0000 0.5000  4 O 2.13-2.36
Ag2 0.0000 0.5000 0.0000  4 O 2.13-2.36
O1 0.1592 0.1579 0.9491  1 Mn 1.92
O2 0.1592 0.3421 0.4491  1 Mn 1.92
O3 0.2816 0.7177 0.9372  1 Mn 1.98
O4 0.2816 0.7823 0.4372  1 Mn 1.98
O5 0.3827 0.0499 0.7607  1 Mn 1.95, 1 Ag 2.13
O6 0.3827 0.4501 0.2607  1 Mn 1.95, 1 Ag 2.13
O7 0.6173 0.5499 0.7393  1 Mn 1.95, 1 Ag 2.13
O8 0.6173 0.9501 0.2393  1 Mn 1.95, 1 Ag 2.13
O9 0.7184 0.2177 0.5628  1 Mn 1.98
O10 0.7184 0.2823 0.0628  1 Mn 1.98
O11 0.8408 0.6579 0.5509  1 Mn 1.92
O12 0.8408 0.8421 0.0509  1 Mn 1.92